# 1
DFT (PBE) results for a geometry-optimized Ho2AlTc structure.

The space group is R-3m (No. 166, hexagonal axes) and the conventional cell measures 3.3264, 3.3264 and 31.0486 Å, with angles of 90.00, 90.00 and 120.00 degrees. The asymmetric unit holds Ho at (0.0000, 0.0000, 0.1005), Al at (0.0000, 0.0000, 0.0000) and Tc at (0.0000, 0.0000, 0.5000).

For the magnetization, the calculation gives 0.0 μB per cell. Its calculated density is 7.616 g/cm3. The total DFT energy (no corrections) comes out at -5.4785 eV/atom. The calculated formation energy comes out at 337.5 meV/atom.

***

# 2
DFT (PBE) results for a geometry-optimized GdTm2Mn structure.

The space group is R-3m (No. 166, hexagonal axes) and the conventional cell measures 3.3688, 3.3688 and 33.5067 Å, with angles of 90.00, 90.00 and 120.00 degrees. The asymmetric unit holds Gd at (0.0000, 0.0000, 0.0000), Tm at (0.0000, 0.0000, 0.4185) and Mn at (0.0000, 0.0000, 0.5000).

For the magnetization, the calculation gives 30.8 μB per cell. Its calculated density is 8.321 g/cm3. The total DFT energy (no corrections) comes out at -7.5395 eV/atom. The value obtained for the energy above the most stable polymorph in this dataset is 393.3 meV per atom. The calculated formation energy comes out at 508.9 meV/atom.

***

# 3
DFT (PBE) results for a geometry-optimized Pr6Nd4Dy structure.

The space group is I-42m (No. 121) and the conventional cell measures 6.862, 6.862 and 17.036 Å, with angles of 90.00, 90.00 and 90.00 degrees. The asymmetric unit holds Pr at (0.000, 0.500, 0.000), Pr at (0.189, 0.189, 0.177), Nd at (0.174, 0.174, 0.380) and Dy at (0.000, 0.000, 0.000).

For the magnetization, the calculation gives 0.0 μB per cell. Its calculated density is 6.562 g/cm3. The total DFT energy (no corrections) comes out at -4.4882 eV/atom. The calculated formation energy comes out at 270.9 meV/atom.

***

# 4
DFT (PBE) results for a geometry-optimized BaTmAgSn structure.

The space group is F-43m (No. 216) and the conventional cell measures 7.854, 7.854 and 7.854 Å, with angles of 90.00, 90.00 and 90.00 degrees. The asymmetric unit holds Ba at (0.000, 0.000, 0.000), Tm at (0.000, 0.000, 0.500), Ag at (0.250, 0.250, 0.750) and Sn at (0.250, 0.250, 0.250).

For the magnetization, the calculation gives 0.0 μB per cell. Its calculated density is 7.307 g/cm3. The total DFT energy (no corrections) comes out at -3.6608 eV/atom. The calculated formation energy comes out at -348.7 meV/atom.